A relaxed BO2F3 crystal. Source: Alexandria, functional GGA-PBEsol.

```
24
Lattice="6.037 0.000 0.097 0.000 7.764 0.000 -1.226 0.000 7.850" Properties=species:S:1:pos:R:3 pbc="T T T"
F 3.701 0.459 4.415
F 2.972 2.268 3.204
F 2.452 6.150 0.818
F 1.110 7.305 3.532
F 0.522 7.090 5.739
F 0.497 4.341 7.457
F 1.839 5.496 4.744
F 1.135 4.555 1.813
F 2.359 1.614 7.129
F 3.676 3.208 6.134
F 4.289 0.674 2.209
F 4.314 3.423 0.490
B 1.760 5.026 0.746
B 1.147 6.619 4.671
B 3.664 1.144 3.276
B 3.051 2.738 7.201
O 5.572 6.354 0.189
O -0.761 1.409 7.758
O 4.959 5.291 4.114
O -0.148 2.472 3.833
O 1.026 1.486 0.995
O 3.785 6.278 6.952
O 4.398 5.368 3.027
O 0.413 2.396 4.920
```

Output
For the electronic total energy, the calculation gives -136.63 eV/cell. Its mass density is 1.80 g cm⁻³. The energy relative to the elements, uncorrected comes out at -1810 meV per atom.